A plane-wave DFT calculation with PBE was carried out for crystalline Ac6Co2HBr3 at its relaxed geometry.

Its total energy is -4.698 eV/atom. As for the volume: 31.77 A^3/atom.

Cell lengths 7.302, 7.302, 8.606 Å; angles 98.18, 98.18, 119.94 degrees
Sites, in units of the cell vectors:
Br: 0.172 0.828 0.500
Br: 0.500 0.500 0.500
Br: 0.828 0.172 0.500
Ac: 0.720 0.720 0.190
Ac: 0.405 0.063 0.190
Ac: 0.280 0.280 0.810
Ac: 0.063 0.405 0.190
Ac: 0.937 0.595 0.810
Ac: 0.595 0.937 0.810
Co: 0.334 0.666 0.000
Co: 0.666 0.334 0.000
H: 0.000 0.000 0.000